Entry 1:
Compound: NdNiPN
Source: Alexandria
Functional: PBE
Structure: optimized geometry

Values from the calculation:
Electronic total energy in eV/f.u.: -28.743
Energy relative to the elements, uncorrected in meV/atom: -1115

Cell and atoms, written as POSCAR:
```
NdNiPN
1.0
3.771 0.000 0.000
0.000 3.771 0.000
0.000 0.000 8.012
N P Nd Ni
2 2 2 2
Direct
0.000 0.500 0.135 N
0.500 0.000 0.865 N
0.000 0.500 0.349 P
0.500 0.000 0.651 P
0.500 0.000 0.170 Nd
0.000 0.500 0.830 Nd
0.500 0.500 0.500 Ni
0.000 0.000 0.500 Ni
```

Entry 2:
Compound: Rb2Pu3Cl10
Source: Alexandria
Functional: PBE
Structure: optimized geometry

Values from the calculation:
Electronic total energy in eV/f.u.: -92.373
Energy relative to the elements, uncorrected in meV/atom: -1932

Cell and atoms, written as POSCAR:
```
Rb2Pu3Cl10
1.0
7.801 0.000 -2.539
-1.243 9.851 -3.820
0.039 0.233 13.374
Cl Rb Pu
20 4 6
Direct
0.775 0.500 0.000 Cl
0.389 0.468 0.295 Cl
0.860 0.048 0.227 Cl
0.907 0.468 0.295 Cl
0.611 0.532 0.705 Cl
0.367 0.048 0.227 Cl
0.131 0.749 0.262 Cl
0.869 0.251 0.738 Cl
0.491 0.817 0.981 Cl
0.242 0.291 0.484 Cl
0.500 0.000 0.500 Cl
0.000 0.000 0.500 Cl
0.140 0.952 0.773 Cl
0.633 0.952 0.773 Cl
0.093 0.532 0.705 Cl
0.984 0.812 0.968 Cl
0.016 0.188 0.032 Cl
0.509 0.183 0.019 Cl
0.758 0.709 0.516 Cl
0.225 0.500 0.000 Cl
0.271 0.634 0.542 Rb
0.729 0.366 0.458 Rb
0.378 0.312 0.755 Rb
0.622 0.688 0.245 Rb
0.256 0.000 0.000 Pu
0.078 0.474 0.156 Pu
0.182 0.030 0.364 Pu
0.922 0.526 0.844 Pu
0.744 0.000 0.000 Pu
0.818 0.970 0.636 Pu
```

Entry 3:
Compound: LaTiIr2
Source: Alexandria
Functional: PBE
Structure: optimized geometry

Values from the calculation:
Offset from the most stable computed form in kJ per mole of atoms: 32.0
Electronic total energy in eV/f.u.: -31.934

Cell and atoms, written as POSCAR:
```
LaTiIr2
1.0
-0.627 -0.651 4.677
-3.024 2.783 2.407
-4.104 -1.790 1.626
Ti Ir La
1 2 1
Direct
0.000 0.000 0.000 Ti
0.750 0.750 0.750 Ir
0.250 0.250 0.250 Ir
0.500 0.500 0.500 La
```

Entry 4:
Compound: ReTcCl2
Source: Alexandria
Functional: PBE
Structure: optimized geometry

Values from the calculation:
Offset from the most stable computed form in kJ per mole of atoms: 1.0
Electronic total energy in eV/f.u.: -27.070
Energy relative to the elements, uncorrected in meV/atom: -141

Cell and atoms, written as POSCAR:
```
ReTcCl2
1.0
3.621 0.019 0.017
2.364 2.743 0.017
2.779 1.282 8.895
Tc Cl Re
1 2 1
Direct
0.713 0.713 0.711 Tc
0.055 0.055 0.923 Cl
0.188 0.188 0.326 Cl
0.544 0.544 0.541 Re
```

Entry 5:
Compound: Mn2PdRh
Source: Alexandria
Functional: PBE
Structure: optimized geometry

Values from the calculation:
Electronic total energy in eV/f.u.: -31.608

Cell and atoms, written as POSCAR:
```
Mn2PdRh
1.0
-2.231 1.894 1.039
-1.790 -0.784 -2.413
-2.371 -4.572 3.244
Mn Pd Rh
2 1 1
Direct
0.000 0.000 0.756 Mn
0.000 0.000 0.244 Mn
0.500 0.500 0.500 Pd
0.500 0.500 0.000 Rh
```

Entry 6:
Compound: Na3CeI6
Source: Alexandria
Functional: PBE
Structure: optimized geometry

Values from the calculation:
Electronic total energy in eV/f.u.: -31.854
Energy relative to the elements, uncorrected in meV/atom: -1266

Cell and atoms, written as POSCAR:
```
Na3CeI6
1.0
7.916 0.000 0.018
0.000 8.468 0.000
0.130 0.000 11.990
I Ce Na
12 2 6
Direct
0.173 0.319 0.432 I
0.327 0.819 0.068 I
0.827 0.681 0.568 I
0.351 0.567 0.742 I
0.649 0.433 0.258 I
0.670 0.186 0.584 I
0.851 0.933 0.242 I
0.673 0.181 0.932 I
0.170 0.314 0.084 I
0.149 0.067 0.758 I
0.330 0.814 0.416 I
0.830 0.686 0.916 I
0.000 0.000 0.000 Ce
0.500 0.500 0.500 Ce
0.967 0.409 0.732 Na
0.533 0.909 0.768 Na
0.500 0.500 0.000 Na
0.467 0.091 0.232 Na
0.033 0.591 0.268 Na
0.000 0.000 0.500 Na
```